## i
Crystalline AcMgSi at its relaxed geometry. Source: the Alexandria database, functional PBE-GGA.

abc: 4.552 4.552 4.579
angles: 90.00 90.00 120.00
Element x y z (fractional)
Ac1 0.000 0.000 0.000
Mg1 0.667 0.333 0.500
Si1 0.333 0.667 0.500

Results
Magnetization: 0.2380 μB per atom
Calculated density: 5.6 Mg/m³
SG: P-6m2 (187)

## ii
Crystalline AcMgSi at its relaxed geometry. Source: the Alexandria database, functional PBE-GGA.

abc: 7.059 7.059 7.059
angles: 90.00 90.00 90.00
Element x y z (fractional)
Ac1 0.000 0.000 0.000
Ac2 0.000 0.500 0.500
Ac3 0.500 0.000 0.500
Ac4 0.500 0.500 0.000
Mg1 0.000 0.000 0.500
Mg2 0.000 0.500 0.000
Mg3 0.500 0.000 0.000
Mg4 0.500 0.500 0.500
Si1 0.250 0.250 0.750
Si2 0.250 0.750 0.250
Si3 0.750 0.250 0.250
Si4 0.750 0.750 0.750

Results
Magnetization: 0.0000 μB per atom
Calculated density: 5.3 Mg/m³
SG: F-43m (216)

i is the most stable structure; the next one sits 0.136 eV/atom above it.

## i
Crystalline AcMgSi at its relaxed geometry. Source: the Alexandria database, functional PBE-GGA.

abc: 7.550 4.517 13.980
angles: 90.00 90.68 90.00
Element x y z (fractional)
Ac1 0.015 0.250 0.376
Ac2 0.156 0.250 0.080
Ac3 0.466 0.750 0.705
Ac4 0.534 0.250 0.295
Ac5 0.844 0.750 0.920
Ac6 0.985 0.750 0.624
Mg1 0.135 0.250 0.814
Mg2 0.355 0.750 0.456
Mg3 0.495 0.750 0.093
Mg4 0.505 0.250 0.907
Mg5 0.645 0.250 0.544
Mg6 0.865 0.750 0.186
Si1 0.236 0.750 0.246
Si2 0.276 0.250 0.558
Si3 0.285 0.750 0.917
Si4 0.715 0.250 0.083
Si5 0.724 0.750 0.442
Si6 0.764 0.250 0.754

Results
Magnetization: 0.0000 μB per atom
Calculated density: 5.8 Mg/m³
SG: P2_1/m (11)

## ii
Crystalline AcMgSi at its relaxed geometry. Source: the Alexandria database, functional PBE-GGA.

abc: 4.472 4.472 7.895
angles: 90.00 90.00 90.00
Element x y z (fractional)
Ac1 0.250 0.250 0.153
Ac2 0.750 0.750 0.847
Mg1 0.250 0.750 0.500
Mg2 0.750 0.250 0.500
Si1 0.250 0.250 0.717
Si2 0.750 0.750 0.283

Results
Magnetization: 0.2086 μB per atom
Calculated density: 5.9 Mg/m³
SG: P4/nmm (129)

ii is the most stable structure; the next one sits 0.018 eV/atom above it.

## i
Crystalline AcMgSi2 at its relaxed geometry. Source: the Alexandria database, functional PBE-GGA.

abc: 8.276 4.044 11.106
angles: 90.00 90.00 90.00
Element x y z (fractional)
Ac1 0.124 0.250 0.137
Ac2 0.376 0.750 0.637
Ac3 0.624 0.250 0.363
Ac4 0.876 0.750 0.863
Mg1 0.004 0.250 0.610
Mg2 0.496 0.750 0.110
Mg3 0.504 0.250 0.890
Mg4 0.996 0.750 0.390
Si1 0.181 0.250 0.821
Si2 0.234 0.250 0.432
Si3 0.266 0.750 0.932
Si4 0.319 0.750 0.321
Si5 0.681 0.250 0.679
Si6 0.734 0.250 0.068
Si7 0.766 0.750 0.568
Si8 0.819 0.750 0.179

Results
Magnetization: 0.0000 μB per atom
Calculated density: 5.5 Mg/m³
SG: Pnma (62)

## ii
Crystalline AcMgSi2 at its relaxed geometry. Source: the Alexandria database, functional PBE-GGA.

abc: 4.128 6.230 8.245
angles: 90.00 90.00 90.00
Element x y z (fractional)
Ac1 0.000 0.000 0.000
Ac2 0.000 0.500 0.500
Mg1 0.500 0.000 0.584
Mg2 0.500 0.500 0.084
Si1 0.500 0.185 0.293
Si2 0.500 0.315 0.793
Si3 0.500 0.685 0.793
Si4 0.500 0.815 0.293

Results
Magnetization: 0.0000 μB per atom
Calculated density: 4.8 Mg/m³
SG: Amm2 (38)

i is the most stable structure; the next one sits 0.220 eV/atom above it.